Record 1
This record from Alexandria describes a relaxed structure of NdInAu4. The functional is PBE.

Results
D(E_F)	0.407	states/eV per atom
offset from the most stable computed form	0.051	eV per atom

Lattice parameters (Å, degrees): 10.525 7.948 6.786 90.00 105.83 90.00
Space group C2/m (No. 12)
Unique sites:
Nd 0.153 0.000 0.251 [4 per cell]
In 0.102 0.500 0.307 [4 per cell]
Au 0.000 0.237 0.500 [4 per cell]
Au 0.120 0.314 0.936 [8 per cell]
Au 0.153 0.000 0.772 [4 per cell]

Record 2
This record from Alexandria describes a relaxed structure of Nd2In8Au. The functional is PBE.

Results
D(E_F)	0.381	states/eV per atom
offset from the most stable computed form	0.000	eV per atom

Lattice parameters (Å, degrees): 4.803 4.803 12.336 90.00 90.00 90.00
Space group P4/mmm (No. 123)
Unique sites:
Nd 0.000 0.000 0.189 [2 per cell]
In 0.000 0.500 0.000 [2 per cell]
In 0.000 0.500 0.371 [4 per cell]
In 0.500 0.500 0.189 [2 per cell]
Au 0.000 0.000 0.500 [1 per cell]

Record 3
This record from Alexandria describes a relaxed structure of Nd4In12Au. The functional is PBE.

Results
D(E_F)	0.298	states/eV per atom
VASP energy	-3.68	eV/atom

Lattice parameters (Å, degrees): 9.581 9.581 9.581 90.00 90.00 90.00
Space group Im-3m (No. 229)
Unique sites:
Nd 0.250 0.250 0.250 [8 per cell]
In 0.000 0.000 0.290 [12 per cell]
In 0.000 0.250 0.500 [12 per cell]
Au 0.000 0.000 0.000 [2 per cell]

Record 4
This record from Alexandria describes a relaxed structure of Nd2In3Au. The functional is PBE.

Results
D(E_F)	0.621	states/eV per atom
VASP energy	-4.08	eV/atom

Lattice parameters (Å, degrees): 3.760 4.906 8.519 90.00 90.00 90.00
Space group Pmm2 (No. 25)
Unique sites:
Nd 0.000 0.000 0.000 [1 per cell]
Nd 0.000 0.500 0.480 [1 per cell]
In 0.500 0.000 0.648 [1 per cell]
In 0.500 0.500 0.162 [1 per cell]
In 0.500 0.500 0.824 [1 per cell]
Au 0.500 0.000 0.320 [1 per cell]

Record 5
This record from Alexandria describes a relaxed structure of Nd12In3Au. The functional is PBE.

Results
D(E_F)	1.359	states/eV per atom
VASP energy	-4.56	eV/atom

Lattice parameters (Å, degrees): 4.974 4.974 19.703 90.00 90.00 90.00
Space group P4/mmm (No. 123)
Unique sites:
Nd 0.000 0.000 0.000 [1 per cell]
Nd 0.000 0.000 0.245 [2 per cell]
Nd 0.000 0.000 0.500 [1 per cell]
Nd 0.000 0.500 0.119 [4 per cell]
Nd 0.000 0.500 0.373 [4 per cell]
In 0.500 0.500 0.246 [2 per cell]
In 0.500 0.500 0.500 [1 per cell]
Au 0.500 0.500 0.000 [1 per cell]

Record 6
This record from Alexandria describes a relaxed structure of Nd3InAu2. The functional is PBE.

Results
D(E_F)	0.735	states/eV per atom
VASP energy	-4.60	eV/atom

Lattice parameters (Å, degrees): 3.703 3.703 11.734 90.00 90.00 90.00
Space group P4/mmm (No. 123)
Unique sites:
Nd 0.000 0.000 0.000 [1 per cell]
Nd 0.000 0.000 0.319 [2 per cell]
In 0.500 0.500 0.500 [1 per cell]
Au 0.500 0.500 0.161 [2 per cell]